Below is Ca2AcHoIn4 after structural relaxation, with properties calculated at the PBE level.

Cell lengths 5.4940, 5.4940, 27.3212 Å; angles 90.00, 90.00, 120.00 degrees
Space group R-3m (No. 166, hexagonal axes)
Unique sites:
Ca (0.0000, 0.0000, 0.2484) x6
Ac (0.0000, 0.0000, 0.0000) x3
Ho (0.0000, 0.0000, 0.5000) x3
In (0.0000, 0.0000, 0.1286) x6
In (0.0000, 0.0000, 0.3816) x6

* magnetic moment: 0.0 μB/f.u.
* E_form: -9.81 kcal/mol of atoms
* volume: 29.8 Å³ per atom
* E: -0.248 Ry/atom
* Fermi-level density of states: 18.59 states/eV per cell



Below is CaAc2HoO6 after structural relaxation, with properties calculated at the PBE level.

Cell lengths 6.0364, 6.2395, 10.5406 Å; angles 90.00, 124.47, 90.00 degrees
Space group P2_1/c (No. 14)
Unique sites:
Ca (0.0000, 0.0000, 0.0000) x2
Ac (0.2286, 0.0536, 0.7469) x4
Ho (0.5000, 0.0000, 0.5000) x2
O (0.1356, 0.1891, 0.4374) x4
O (0.2369, 0.7038, 0.4266) x4
O (0.3830, 0.0647, 0.2568) x4

* magnetic moment: 1.1 μB/f.u.
* volume: 16.4 Å³ per atom
* E: -0.554 Ry/atom
* Fermi-level density of states: 17.19 states/eV per cell



Below is CaAcPmHo after structural relaxation, with properties calculated at the PBE level.

Cell lengths 8.4322, 8.4322, 8.4322 Å; angles 90.00, 90.00, 90.00 degrees
Space group F-43m (No. 216)
Unique sites:
Ca (0.0000, 0.0000, 0.0000) x4
Ac (0.2500, 0.2500, 0.2500) x4
Pm (0.2500, 0.2500, 0.7500) x4
Ho (0.0000, 0.0000, 0.5000) x4

* magnetic moment: 0.0 μB/f.u.
* E_form: 2.56 kcal/mol of atoms
* volume: 37.5 Å³ per atom
* E: -0.276 Ry/atom
* Fermi-level density of states: 25.57 states/eV per cell



Below is CaAcPrHo after structural relaxation, with properties calculated at the PBE level.

Cell lengths 3.7975, 3.7975, 10.6516 Å; angles 90.00, 90.00, 90.00 degrees
Space group P4mm (No. 99)
Unique sites:
Ca (0.0000, 0.0000, 0.0000) x1
Ac (0.5000, 0.5000, 0.7185) x1
Pr (0.0000, 0.0000, 0.4642) x1
Ho (0.5000, 0.5000, 0.2466) x1

* magnetic moment: 0.0 μB/f.u.
* E_form: 1.45 kcal/mol of atoms
* volume: 38.4 Å³ per atom
* E: -0.280 Ry/atom
* Fermi-level density of states: 5.82 states/eV per cell
* E above lowest polymorph: 0 kJ/mol of formula units



Below is CaAcPrHo after structural relaxation, with properties calculated at the PBE level.

Cell lengths 8.4663, 8.4663, 8.4663 Å; angles 90.00, 90.00, 90.00 degrees
Space group F-43m (No. 216)
Unique sites:
Ca (0.0000, 0.0000, 0.0000) x4
Ac (0.2500, 0.2500, 0.7500) x4
Pr (0.2500, 0.2500, 0.2500) x4
Ho (0.0000, 0.0000, 0.5000) x4

* magnetic moment: 0.0 μB/f.u.
* E_form: 2.29 kcal/mol of atoms
* volume: 37.9 Å³ per atom
* E: -0.277 Ry/atom
* Fermi-level density of states: 24.55 states/eV per cell
* E above lowest polymorph: 14 kJ/mol of formula units



Below is CaAcHo4S8 after structural relaxation, with properties calculated at the PBE level.

Cell lengths 8.0902, 8.0902, 20.5326 Å; angles 90.00, 90.00, 120.00 degrees
Space group R3m (No. 160, hexagonal axes)
Unique sites:
Ca (0.0000, 0.0000, 0.0000) x3
Ac (0.0000, 0.0000, 0.3723) x3
Ho (0.0000, 0.0000, 0.7472) x3
Ho (0.0048, 0.5024, 0.8740) x9
S (0.0000, 0.0000, 0.1342) x3
S (0.0000, 0.0000, 0.6152) x3
S (0.0073, 0.5037, 0.1320) x9
S (0.1750, 0.3500, 0.9463) x9

* magnetic moment: 0.0 μB/f.u.
* volume: 27.7 Å³ per atom
* E: -0.447 Ry/atom
* Fermi-level density of states: 10.96 states/eV per cell



Below is Ca2AcHoS4 after structural relaxation, with properties calculated at the PBE level.

Cell lengths 7.0494, 4.0506, 7.0914 Å; angles 90.00, 109.13, 90.00 degrees
Space group P2/m (No. 10)
Unique sites:
Ca (0.0000, 0.0000, 0.0000) x1
Ca (0.5000, 0.5000, 0.0000) x1
Ac (0.0000, 0.5000, 0.5000) x1
Ho (0.5000, 0.0000, 0.5000) x1
S (0.2650, 0.5000, 0.2505) x2
S (0.2699, 0.0000, 0.7612) x2

* magnetic moment: 0.0 μB/f.u.
* volume: 23.9 Å³ per atom
* E: -0.416 Ry/atom
* Fermi-level density of states: 3.55 states/eV per cell



Below is CaAc2HoSb4 after structural relaxation, with properties calculated at the PBE level.

Cell lengths 7.8780, 4.6655, 8.1170 Å; angles 90.00, 109.90, 90.00 degrees
Space group P2/m (No. 10)
Unique sites:
Ca (0.0000, 0.0000, 0.0000) x1
Ac (0.5000, 0.0000, 0.5000) x1
Ac (0.5000, 0.5000, 0.0000) x1
Ho (0.0000, 0.5000, 0.5000) x1
Sb (0.2275, 0.0000, 0.7370) x2
Sb (0.2306, 0.5000, 0.2497) x2

* magnetic moment: 0.0 μB/f.u.
* volume: 35.1 Å³ per atom
* E: -0.364 Ry/atom
* Fermi-level density of states: 5.64 states/eV per cell



Below is CaAc3Ho3Se8 after structural relaxation, with properties calculated at the PBE level.

Cell lengths 8.3687, 8.3687, 21.4126 Å; angles 90.00, 90.00, 120.00 degrees
Space group R-3m (No. 166, hexagonal axes)
Unique sites:
Ca (0.0000, 0.0000, 0.0000) x3
Ac (0.0000, 0.5000, 0.5000) x9
Ho (0.0000, 0.5000, 0.0000) x9
Se (0.0000, 0.0000, 0.2599) x6
Se (0.0097, 0.5048, 0.2572) x18

* magnetic moment: 0.0 μB/f.u.
* volume: 28.9 Å³ per atom
* E: -0.412 Ry/atom
* Fermi-level density of states: 10.36 states/eV per cell



Below is Ca2AcHoSe4 after structural relaxation, with properties calculated at the PBE level.

Cell lengths 7.3312, 4.2162, 7.3934 Å; angles 90.00, 109.12, 90.00 degrees
Space group P2/m (No. 10)
Unique sites:
Ca (0.0000, 0.0000, 0.0000) x1
Ca (0.5000, 0.5000, 0.0000) x1
Ac (0.0000, 0.5000, 0.5000) x1
Ho (0.5000, 0.0000, 0.5000) x1
Se (0.2642, 0.5000, 0.2497) x2
Se (0.2692, 0.0000, 0.7617) x2

* magnetic moment: 0.0 μB/f.u.
* volume: 27.0 Å³ per atom
* E: -0.381 Ry/atom
* Fermi-level density of states: 3.60 states/eV per cell



Below is CaAc2HoSe5 after structural relaxation, with properties calculated at the PBE level.

Cell lengths 5.1594, 5.1594, 10.9478 Å; angles 90.00, 90.00, 90.00 degrees
Space group P4/mmm (No. 123)
Unique sites:
Ca (0.0000, 0.0000, 0.0000) x1
Ac (0.5000, 0.5000, 0.2908) x2
Ho (0.0000, 0.0000, 0.5000) x1
Se (0.0000, 0.0000, 0.2458) x2
Se (0.0000, 0.5000, 0.5000) x2
Se (0.5000, 0.5000, 0.0000) x1

* magnetic moment: 0.0 μB/f.u.
* volume: 32.4 Å³ per atom
* E: -0.382 Ry/atom
* Fermi-level density of states: 4.45 states/eV per cell



Below is CaAcHoSn after structural relaxation, with properties calculated at the PBE level.

Cell lengths 8.0063, 8.0063, 8.0063 Å; angles 90.00, 90.00, 90.00 degrees
Space group F-43m (No. 216)
Unique sites:
Ca (0.0000, 0.0000, 0.0000) x4
Ac (0.2500, 0.2500, 0.7500) x4
Ho (0.0000, 0.0000, 0.5000) x4
Sn (0.2500, 0.2500, 0.2500) x4

* magnetic moment: 0.9 μB/f.u.
* E_form: -2.15 kcal/mol of atoms
* volume: 32.1 Å³ per atom
* E: -0.277 Ry/atom
* Fermi-level density of states: 25.61 states/eV per cell



Below is SrCaAcHo after structural relaxation, with properties calculated at the PBE level.

Cell lengths 8.7121, 8.7121, 8.7121 Å; angles 90.00, 90.00, 90.00 degrees
Space group F-43m (No. 216)
Unique sites:
Sr (0.0000, 0.0000, 0.0000) x4
Ca (0.2500, 0.2500, 0.7500) x4
Ac (0.2500, 0.2500, 0.2500) x4
Ho (0.0000, 0.0000, 0.5000) x4

* magnetic moment: 0.0 μB/f.u.
* E_form: 3.62 kcal/mol of atoms
* volume: 41.3 Å³ per atom
* E: -0.216 Ry/atom
* Fermi-level density of states: 16.25 states/eV per cell



Below is CaAc2HoTe5 after structural relaxation, with properties calculated at the PBE level.

Cell lengths 5.5353, 5.5353, 11.6964 Å; angles 90.00, 90.00, 90.00 degrees
Space group P4/mmm (No. 123)
Unique sites:
Ca (0.0000, 0.0000, 0.0000) x1
Ac (0.5000, 0.5000, 0.2987) x2
Ho (0.0000, 0.0000, 0.5000) x1
Te (0.0000, 0.0000, 0.2462) x2
Te (0.0000, 0.5000, 0.5000) x2
Te (0.5000, 0.5000, 0.0000) x1

* magnetic moment: 0.0 μB/f.u.
* volume: 39.8 Å³ per atom
* E: -0.334 Ry/atom
* Fermi-level density of states: 4.23 states/eV per cell



Below is Ca2Ac3HoTe6 after structural relaxation, with properties calculated at the PBE level.

Cell lengths 7.8439, 13.6016, 8.1248 Å; angles 90.00, 108.81, 90.00 degrees
Space group C2/m (No. 12)
Unique sites:
Ca (0.0000, 0.1659, 0.0000) x4
Ac (0.0000, 0.0000, 0.5000) x2
Ac (0.0000, 0.3281, 0.5000) x4
Ho (0.0000, 0.5000, 0.0000) x2
Te (0.2387, 0.3360, 0.2242) x8
Te (0.2498, 0.0000, 0.2319) x4

* magnetic moment: 0.0 μB/f.u.
* volume: 34.2 Å³ per atom
* E: -0.352 Ry/atom
* Fermi-level density of states: 12.35 states/eV per cell



Below is Ca3Ac2HoTe6 after structural relaxation, with properties calculated at the PBE level.

Cell lengths 7.8696, 13.6113, 7.9580 Å; angles 90.00, 109.34, 90.00 degrees
Space group C2/m (No. 12)
Unique sites:
Ca (0.0000, 0.0000, 0.0000) x2
Ca (0.0000, 0.3275, 0.0000) x4
Ac (0.0000, 0.1655, 0.5000) x4
Ho (0.0000, 0.5000, 0.5000) x2
Te (0.2281, 0.5000, 0.2386) x4
Te (0.2441, 0.3415, 0.7585) x8

* magnetic moment: 0.0 μB/f.u.
* volume: 33.5 Å³ per atom
* E: -0.340 Ry/atom
* Fermi-level density of states: 10.21 states/eV per cell



Below is Ca2AcHoTl4 after structural relaxation, with properties calculated at the PBE level.

Cell lengths 5.5357, 5.5357, 27.6401 Å; angles 90.00, 90.00, 120.00 degrees
Space group R-3m (No. 166, hexagonal axes)
Unique sites:
Ca (0.0000, 0.0000, 0.2475) x6
Ac (0.0000, 0.0000, 0.0000) x3
Ho (0.0000, 0.0000, 0.5000) x3
Tl (0.0000, 0.0000, 0.1283) x6
Tl (0.0000, 0.0000, 0.3818) x6

* magnetic moment: 0.0 μB/f.u.
* E_form: -8.59 kcal/mol of atoms
* volume: 30.6 Å³ per atom
* E: -0.231 Ry/atom
* Fermi-level density of states: 19.30 states/eV per cell



Below is CaAcHoTl after structural relaxation, with properties calculated at the PBE level.

Cell lengths 8.1349, 8.1349, 8.1349 Å; angles 90.00, 90.00, 90.00 degrees
Space group F-43m (No. 216)
Unique sites:
Ca (0.0000, 0.0000, 0.0000) x4
Ac (0.2500, 0.2500, 0.7500) x4
Ho (0.0000, 0.0000, 0.5000) x4
Tl (0.2500, 0.2500, 0.2500) x4

* magnetic moment: 0.8 μB/f.u.
* E_form: 1.74 kcal/mol of atoms
* volume: 33.6 Å³ per atom
* E: -0.234 Ry/atom
* Fermi-level density of states: 26.62 states/eV per cell



Below is CaAcHo2Tl4 after structural relaxation, with properties calculated at the PBE level.

Cell lengths 5.4951, 5.4951, 27.4462 Å; angles 90.00, 90.00, 120.00 degrees
Space group R-3m (No. 166, hexagonal axes)
Unique sites:
Ca (0.0000, 0.0000, 0.0000) x3
Ac (0.0000, 0.0000, 0.5000) x3
Ho (0.0000, 0.0000, 0.2536) x6
Tl (0.0000, 0.0000, 0.1212) x6
Tl (0.0000, 0.0000, 0.3722) x6

* magnetic moment: 0.0 μB/f.u.
* E_form: -7.72 kcal/mol of atoms
* volume: 29.9 Å³ per atom
* E: -0.252 Ry/atom
* Fermi-level density of states: 16.71 states/eV per cell



Below is CaAcI4 after structural relaxation, with properties calculated at the PBE level.

Cell lengths 7.9402, 4.2849, 8.3360 Å; angles 90.00, 94.53, 90.00 degrees
Space group P2/m (No. 10)
Unique sites:
Ca (0.0000, 0.0000, 0.0000) x1
Ac (0.0000, 0.5000, 0.5000) x1
I (0.2326, 0.5000, 0.8527) x2
I (0.2525, 0.0000, 0.3137) x2

* magnetic moment: 0.0 μB/f.u.
* volume: 47.1 Å³ per atom
* E: -0.257 Ry/atom
* Fermi-level density of states: 2.17 states/eV per cell